(1)
The following is a PBE-GGA calculation of K2MnSiP after structural relaxation, from Alexandria.

- Formation energy (no corrections): 3.50 eV per formula unit
- Calculated total energy: -3.7395 eV per atom
- Total magnetic moment: 2.00 μB per formula unit
- Fermi-level density of states: 0.35 states/eV per atom

Unit cell a=6.255 b=6.255 c=4.633 alpha=90.00 beta=90.00 gamma=90.00
Space group P4/mmm (No. 123)
Symmetry-distinct sites (fractional):
K: 0.000 0.500 0.000
Mn: 0.000 0.000 0.500
Si: 0.000 0.000 0.000
P: 0.500 0.500 0.500

---

(2)
The following is a PBE-GGA calculation of NdUP2 after structural relaxation, from Alexandria.

- Formation energy from the elements: -104.82 kJ/mol of atoms
- Calculated total energy: -7.8053 eV per atom
- Total magnetic moment: 2.18 μB per formula unit
- Fermi-level density of states: 1.55 states/eV per atom

Unit cell a=3.9647 b=3.9647 c=21.0086 alpha=90.00 beta=90.00 gamma=120.00
Space group R3m (No. 160, hexagonal axes)
Symmetry-distinct sites (fractional):
Nd: 0.0000 0.0000 0.0000
U: 0.0000 0.0000 0.1738
P: 0.0000 0.0000 0.5817
P: 0.0000 0.0000 0.7614

---

(3)
The following is a PBE-GGA calculation of CdOsAu2 after structural relaxation, from Alexandria.

- Formation energy from the elements: 42.81 kJ/mol of atoms
- Calculated total energy: -4.2312 eV per atom
- Total magnetic moment: 0.00 μB per formula unit
- Fermi-level density of states: 0.77 states/eV per atom

Unit cell a=2.773 b=4.158 c=6.064 alpha=90.00 beta=90.20 gamma=90.00
Space group P2/m (No. 10)
Symmetry-distinct sites (fractional):
Cd: 0.000 0.000 0.000
Os: 0.000 0.000 0.500
Au: 0.499 0.500 0.263

---

(4)
The following is a PBE-GGA calculation of CaZnHgBi after structural relaxation, from Alexandria.

- Formation energy from the elements: -23.84 kJ/mol of atoms
- Calculated total energy: -2.1117 eV per atom
- Total magnetic moment: 0.00 μB per formula unit
- Fermi-level density of states: 0.73 states/eV per atom

Unit cell a=7.500 b=7.500 c=7.500 alpha=90.00 beta=90.00 gamma=90.00
Space group F-43m (No. 216)
Symmetry-distinct sites (fractional):
Ca: 0.000 0.000 0.000
Zn: 0.250 0.250 0.750
Hg: 0.250 0.250 0.250
Bi: 0.000 0.000 0.500

---

(5)
The following is a PBE-GGA calculation of Co3P after structural relaxation, from Alexandria.

- Formation energy from the elements: -4.48 kJ/mol of atoms
- Calculated total energy: -6.7283 eV per atom
- Total magnetic moment: 3.59 μB per formula unit
- Fermi-level density of states: 0.90 states/eV per atom

Unit cell a=2.6973 b=2.6973 c=7.1573 alpha=90.00 beta=90.00 gamma=120.00
Space group P-6m2 (No. 187)
Symmetry-distinct sites (fractional):
Co: 0.0000 0.0000 0.0000
Co: 0.3333 0.6667 0.2775
P: 0.0000 0.0000 0.5000

---

(6)
The following is a PBE-GGA calculation of CeSi2Ir2 after structural relaxation, from Alexandria.

- Formation energy (no corrections): -4.43 eV per formula unit
- Calculated total energy: -7.7860 eV per atom
- Total magnetic moment: 0.21 μB per formula unit
- Fermi-level density of states: 1.13 states/eV per atom

Unit cell a=4.200 b=4.200 c=10.049 alpha=90.00 beta=90.00 gamma=90.00
Space group I4/mmm (No. 139)
Symmetry-distinct sites (fractional):
Ce: 0.000 0.000 0.000
Si: 0.000 0.500 0.250
Ir: 0.000 0.000 0.369

---

(7)
The following is a PBE-GGA calculation of Ti13Zn2 after structural relaxation, from Alexandria.

- Formation energy from the elements: 46.14 kJ/mol of atoms
- Calculated total energy: -6.5339 eV per atom
- Total magnetic moment: 5.04 μB per formula unit
- Fermi-level density of states: 1.30 states/eV per atom

Unit cell a=7.1479 b=7.1479 c=20.2442 alpha=90.00 beta=90.00 gamma=120.00
Space group R-3m (No. 166, hexagonal axes)
Symmetry-distinct sites (fractional):
Ti: 0.0000 0.0000 0.0000
Ti: 0.0762 0.5381 0.4296
Ti: 0.0837 0.5419 0.2977
Zn: 0.0000 0.0000 0.1296

---

(8)
The following is a PBE-GGA calculation of La4SnSbTe2 after structural relaxation, from Alexandria.

- Formation energy (no corrections): -10.83 eV per formula unit
- Calculated total energy: -5.6180 eV per atom
- Total magnetic moment: 0.00 μB per formula unit
- Fermi-level density of states: 0.26 states/eV per atom

Unit cell a=7.989 b=4.628 c=8.008 alpha=90.00 beta=109.52 gamma=90.00
Space group P2/m (No. 10)
Symmetry-distinct sites (fractional):
La: 0.241 0.000 0.245
La: 0.241 0.500 0.749
Sn: 0.000 0.500 0.000
Sb: 0.000 0.000 0.500
Te: 0.500 0.000 0.000
Te: 0.500 0.500 0.500

---

(9)
The following is a PBE-GGA calculation of Mg2TePb2 after structural relaxation, from Alexandria.

- Formation energy (no corrections): -0.49 eV per formula unit
- Calculated total energy: -2.8476 eV per atom
- Total magnetic moment: 0.00 μB per formula unit
- Fermi-level density of states: 0.49 states/eV per atom

Unit cell a=7.732 b=7.732 c=4.778 alpha=90.00 beta=90.00 gamma=90.00
Space group P4/mbm (No. 127)
Symmetry-distinct sites (fractional):
Mg: 0.143 0.357 0.000
Te: 0.000 0.000 0.000
Pb: 0.150 0.650 0.500

---

(10)
The following is a PBE-GGA calculation of Ac4TbMg after structural relaxation, from Alexandria.

- Formation energy from the elements: 0.23 kJ/mol of atoms
- Calculated total energy: -3.7741 eV per atom
- Total magnetic moment: 0.00 μB per formula unit
- Fermi-level density of states: 1.34 states/eV per atom

Unit cell a=3.965 b=3.965 c=15.030 alpha=90.00 beta=90.00 gamma=90.00
Space group P4/mmm (No. 123)
Symmetry-distinct sites (fractional):
Ac: 0.000 0.000 0.147
Ac: 0.500 0.500 0.333
Tb: 0.000 0.000 0.500
Mg: 0.500 0.500 0.000

---

(11)
The following is a PBE-GGA calculation of Er3Ag2Os after structural relaxation, from Alexandria.

- Formation energy from the elements: -32.73 kJ/mol of atoms
- Calculated total energy: -5.4427 eV per atom
- Total magnetic moment: 0.00 μB per formula unit
- Fermi-level density of states: 0.61 states/eV per atom

Unit cell a=4.952 b=14.758 c=7.213 alpha=90.00 beta=90.00 gamma=90.00
Space group Cmmm (No. 65)
Symmetry-distinct sites (fractional):
Er: 0.000 0.000 0.233
Er: 0.000 0.327 0.228
Ag: 0.000 0.165 0.500
Ag: 0.000 0.500 0.000
Ag: 0.000 0.500 0.500
Os: 0.000 0.164 0.000

---

(12)
The following is a PBE-GGA calculation of Dy15Y4Ho after structural relaxation, from Alexandria.

- Formation energy from the elements: 1.92 kJ/mol of atoms
- Calculated total energy: -4.9534 eV per atom
- Total magnetic moment: 0.00 μB per formula unit
- Fermi-level density of states: 1.32 states/eV per atom

Unit cell a=5.018 b=5.018 c=25.089 alpha=90.00 beta=90.00 gamma=90.00
Space group P4/mmm (No. 123)
Symmetry-distinct sites (fractional):
Dy: 0.000 0.000 0.000
Dy: 0.000 0.000 0.200
Dy: 0.000 0.000 0.400
Dy: 0.000 0.500 0.099
Dy: 0.000 0.500 0.300
Dy: 0.000 0.500 0.500
Y: 0.500 0.500 0.200
Y: 0.500 0.500 0.400
Ho: 0.500 0.500 0.000

---

(13)
The following is a PBE-GGA calculation of ZnTc2Br after structural relaxation, from Alexandria.

- Formation energy (no corrections): 3.23 eV per formula unit
- Calculated total energy: -5.1115 eV per atom
- Total magnetic moment: 0.00 μB per formula unit
- Fermi-level density of states: 1.21 states/eV per atom

Unit cell a=2.921 b=4.876 c=9.067 alpha=90.00 beta=90.00 gamma=90.00
Space group Cmmm (No. 65)
Symmetry-distinct sites (fractional):
Zn: 0.000 0.000 0.000
Tc: 0.000 0.500 0.242
Br: 0.000 0.000 0.500

---

(14)
The following is a PBE-GGA calculation of Ti4CoAg after structural relaxation, from Alexandria.

- Formation energy from the elements: -16.77 kJ/mol of atoms
- Calculated total energy: -7.0966 eV per atom
- Total magnetic moment: 0.36 μB per formula unit
- Fermi-level density of states: 0.70 states/eV per atom

Unit cell a=2.967 b=2.967 c=10.797 alpha=90.00 beta=90.00 gamma=90.00
Space group P4/mmm (No. 123)
Symmetry-distinct sites (fractional):
Ti: 0.000 0.000 0.140
Ti: 0.500 0.500 0.310
Co: 0.500 0.500 0.000
Ag: 0.000 0.000 0.500

---

(15)
The following is a PBE-GGA calculation of Ga5Ni2Pd12 after structural relaxation, from Alexandria.

- Formation energy from the elements: -25.84 kJ/mol of atoms
- Calculated total energy: -4.9526 eV per atom
- Total magnetic moment: 0.83 μB per formula unit
- Fermi-level density of states: 0.65 states/eV per atom

Unit cell a=13.393 b=5.726 c=8.196 alpha=90.00 beta=95.29 gamma=90.00
Space group C2/m (No. 12)
Symmetry-distinct sites (fractional):
Ga: 0.000 0.000 0.000
Ga: 0.147 0.500 0.387
Ga: 0.214 0.500 0.900
Ni: 0.000 0.298 0.500
Pd: 0.023 0.000 0.716
Pd: 0.034 0.500 0.796
Pd: 0.137 0.258 0.117
Pd: 0.189 0.247 0.639

---

(16)
The following is a PBE-GGA calculation of Tb5Mg4Ga after structural relaxation, from Alexandria.

- Formation energy from the elements: -17.97 kJ/mol of atoms
- Calculated total energy: -3.4419 eV per atom
- Total magnetic moment: 0.00 μB per formula unit
- Fermi-level density of states: 1.13 states/eV per atom

Unit cell a=3.720 b=3.720 c=19.132 alpha=90.00 beta=90.00 gamma=90.00
Space group P4/mmm (No. 123)
Symmetry-distinct sites (fractional):
Tb: 0.000 0.000 0.000
Tb: 0.000 0.000 0.205
Tb: 0.000 0.000 0.411
Mg: 0.500 0.500 0.102
Mg: 0.500 0.500 0.306
Ga: 0.500 0.500 0.500

---

(17)
The following is a PBE-GGA calculation of YSn2Ge2 after structural relaxation, from Alexandria.

- Formation energy from the elements: -20.31 kJ/mol of atoms
- Calculated total energy: -4.9514 eV per atom
- Total magnetic moment: 0.00 μB per formula unit
- Fermi-level density of states: 0.55 states/eV per atom

Unit cell a=7.620 b=7.620 c=4.101 alpha=90.00 beta=90.00 gamma=90.00
Space group P4/mbm (No. 127)
Symmetry-distinct sites (fractional):
Y: 0.000 0.000 0.000
Sn: 0.167 0.333 0.500
Ge: 0.127 0.627 0.000

---

(18)
The following is a PBE-GGA calculation of Li5In6Cu after structural relaxation, from Alexandria.

- Formation energy from the elements: -21.41 kJ/mol of atoms
- Calculated total energy: -2.7299 eV per atom
- Total magnetic moment: 0.00 μB per formula unit
- Fermi-level density of states: 0.25 states/eV per atom

Unit cell a=4.627 b=13.903 c=7.238 alpha=90.00 beta=90.00 gamma=90.00
Space group Cmmm (No. 65)
Symmetry-distinct sites (fractional):
Li: 0.000 0.000 0.000
Li: 0.000 0.333 0.500
Li: 0.000 0.334 0.000
In: 0.000 0.164 0.255
In: 0.000 0.500 0.262
Cu: 0.000 0.000 0.500